Entry 1:
Here is a relaxed structure of Ce2InGeIr from Alexandria. Energies are from PBE.

Cell: 4.2911 7.8847 8.9522 Å, 124.38 90.00 90.00°
With the nearest neighbours (Å) after each atom.
Atoms (fractional coordinates):
1 Ce 0.7500 0.7541 0.6752  3 Ir 2.90-3.07, 1 Ge 3.08
2 Ce 0.2500 0.2474 0.9224  3 Ir 2.89-3.07, 1 Ge 3.09
3 Ce 0.7500 0.7526 0.0776  3 Ir 2.89-3.07, 1 Ge 3.09
4 Ce 0.2500 0.2459 0.3248  3 Ir 2.90-3.07, 1 Ge 3.08
5 Ge 0.7500 0.5167 0.2596  1 Ir 2.49
6 Ge 0.2500 0.4833 0.7404  1 Ir 2.49
7 Ir 0.2500 0.8653 0.9327  1 Ge 2.49, 2 Ir 2.77
8 Ir 0.7500 0.1347 0.0673  1 Ge 2.49, 2 Ir 2.77
9 In 0.2500 0.8162 0.4074  2 Ge 2.90, 2 In 3.21
10 In 0.7500 0.1838 0.5926  2 Ge 2.90, 2 In 3.21

The space-group type is No. 11. The calculation puts the raw total energy at -61.93 eV for the cell shown. Its total magnetization is 0.1585 μB per atom. For the volume, the calculation gives 25.0 Å³ per atom. The value obtained for the energy relative to the elements is -0.576 eV/atom.

=====

Entry 2:
Here is a relaxed structure of CeInGe2Ir5 from Alexandria. Energies are from PBE.

Cell: 3.9339 3.9339 11.7506 Å, 90.00 90.00 90.00°
With the nearest neighbours (Å) after each atom.
Atoms (fractional coordinates):
1 Ir 0.5000 0.0000 0.1676  2 Ge 2.45
2 Ir 0.0000 0.5000 0.8324  2 Ge 2.45
3 Ir 0.5000 0.5000 0.5000  2 Ge 2.44
4 Ir 0.5000 0.0000 0.8324  2 Ge 2.45
5 Ir 0.0000 0.5000 0.1676  2 Ge 2.45
6 Ge 0.5000 0.5000 0.2922  5 Ir 2.44-2.45
7 Ge 0.5000 0.5000 0.7078  5 Ir 2.44-2.45
8 Ce 0.0000 0.0000 0.5000  4 Ir 2.78
9 In 0.0000 0.0000 0.0000  8 Ir 2.78

The space-group type is No. 123. The calculation puts the raw total energy at -63.32 eV for the cell shown. Its total magnetization is 0.0481 μB per atom. For the volume, the calculation gives 20.2 Å³ per atom. The value obtained for the energy relative to the elements is -0.123 eV/atom.

=====

Entry 3:
Here is a relaxed structure of Ce2InGe3Ir4 from Alexandria. Energies are from PBE.

Cell: 4.1966 4.1966 10.8757 Å, 90.00 90.00 90.00°
With the nearest neighbours (Å) after each atom.
Atoms (fractional coordinates):
1 Ge 0.0000 0.5000 0.1245  5 Ir 2.42-2.50
2 Ge 0.0000 0.0000 0.5000  4 Ir 2.68, 4 In 2.97
3 Ge 0.5000 0.0000 0.8755  5 Ir 2.42-2.50
4 Ir 0.5000 0.5000 0.0000  4 Ge 2.50
5 Ir 0.0000 0.0000 0.0000  4 Ge 2.50
6 Ir 0.0000 0.5000 0.3471  3 Ge 2.42-2.68, 2 In 2.68
7 Ir 0.5000 0.0000 0.6529  3 Ge 2.42-2.68, 2 In 2.68
8 In 0.5000 0.5000 0.5000  4 Ir 2.68, 4 Ge 2.97
9 Ce 0.5000 0.0000 0.2447  8 Ir 3.17-3.39, 6 Ge 3.24-3.48, 2 In 3.48
10 Ce 0.0000 0.5000 0.7553  8 Ir 3.17-3.39, 6 Ge 3.24-3.48, 2 In 3.48

The space-group type is No. 115. The calculation puts the raw total energy at -70.61 eV for the cell shown. Its total magnetization is 0.0987 μB per atom. For the volume, the calculation gives 19.2 Å³ per atom. The value obtained for the energy relative to the elements is -0.670 eV/atom.

=====

Entry 4:
Here is a relaxed structure of LaCeInGe from Alexandria. Energies are from PBE.

Cell: 5.3864 5.3864 5.3864 Å, 60.00 60.00 60.00°
With the nearest neighbours (Å) after each atom.
Atoms (fractional coordinates):
1 Ge 0.2500 0.2500 0.2500  4 La 3.30, 4 Ce 3.30
2 Ce 0.0000 0.0000 0.0000  4 Ge 3.30, 4 In 3.30
3 La 0.5000 0.5000 0.5000  4 In 3.30, 4 Ge 3.30
4 In 0.7500 0.7500 0.7500  4 La 3.30, 4 Ce 3.30

The space-group type is No. 216. The calculation puts the raw total energy at -20.05 eV for the cell shown. Its total magnetization is 0.3220 μB per atom. For the volume, the calculation gives 27.6 Å³ per atom. The value obtained for the energy relative to the elements is -0.458 eV/atom.

=====

Entry 5:
Here is a relaxed structure of LiCeInGe from Alexandria. Energies are from PBE.

Cell: 5.0366 5.0366 5.0366 Å, 60.00 60.00 60.00°
With the nearest neighbours (Å) after each atom.
Atoms (fractional coordinates):
1 Li 0.5000 0.5000 0.5000  4 In 3.08, 4 Ge 3.08
2 Ge 0.2500 0.2500 0.2500  4 Ce 3.08, 4 Li 3.08
3 Ce 0.0000 0.0000 0.0000  4 Ge 3.08, 4 In 3.08
4 In 0.7500 0.7500 0.7500  4 Li 3.08, 4 Ce 3.08

The space-group type is No. 216. The calculation puts the raw total energy at -16.62 eV for the cell shown. Its total magnetization is 0.0007 μB per atom. For the volume, the calculation gives 22.6 Å³ per atom. The value obtained for the energy relative to the elements is -0.355 eV/atom.

=====

Entry 6:
Here is a relaxed structure of NaCeInGe from Alexandria. Energies are from PBE.

Cell: 5.2049 5.2049 5.2049 Å, 60.00 60.00 60.00°
With the nearest neighbours (Å) after each atom.
Atoms (fractional coordinates):
1 In 0.0000 0.0000 0.0000  4 Ce 3.19, 4 Na 3.19
2 Na 0.2500 0.2500 0.2500  4 In 3.19, 4 Ge 3.19
3 Ge 0.5000 0.5000 0.5000  4 Ce 3.19, 4 Na 3.19
4 Ce 0.7500 0.7500 0.7500  4 Ge 3.19, 4 In 3.19

The space-group type is No. 216. The calculation puts the raw total energy at -15.56 eV for the cell shown. Its total magnetization is 0.2455 μB per atom. For the volume, the calculation gives 24.9 Å³ per atom. The value obtained for the energy relative to the elements is -0.238 eV/atom.

=====

Entry 7:
Here is a relaxed structure of Ce2InNi4Ge3 from Alexandria. Energies are from PBE.

Cell: 4.1628 4.1628 10.0036 Å, 90.00 90.00 90.00°
With the nearest neighbours (Å) after each atom.
Atoms (fractional coordinates):
1 Ni 0.5000 0.5000 0.0000  4 Ge 2.41
2 Ni 0.0000 0.5000 0.3553  3 Ge 2.33-2.54, 2 In 2.54
3 Ni 0.5000 0.0000 0.6447  3 Ge 2.33-2.54, 2 In 2.54
4 Ni 0.0000 0.0000 0.0000  4 Ge 2.41
5 Ge 0.0000 0.5000 0.1221  5 Ni 2.33-2.41
6 Ge 0.5000 0.0000 0.8779  5 Ni 2.33-2.41
7 Ge 0.0000 0.0000 0.5000  4 Ni 2.54
8 Ce 0.0000 0.5000 0.7665  8 Ni 3.13-3.19, 6 Ge 3.15-3.38, 2 In 3.38
9 Ce 0.5000 0.0000 0.2335  8 Ni 3.13-3.19, 6 Ge 3.15-3.38, 2 In 3.38
10 In 0.5000 0.5000 0.5000  4 Ni 2.54

The space-group type is No. 115. The calculation puts the raw total energy at -57.48 eV for the cell shown. Its total magnetization is 0.0002 μB per atom. For the volume, the calculation gives 17.3 Å³ per atom. The value obtained for the energy relative to the elements is -0.589 eV/atom.

=====

Entry 8:
Here is a relaxed structure of CeInNi5Ge2 from Alexandria. Energies are from PBE.

Cell: 4.3573 4.3573 7.4795 Å, 90.00 90.00 90.00°
With the nearest neighbours (Å) after each atom.
Atoms (fractional coordinates):
1 Ge 0.5000 0.5000 0.8330  5 Ni 2.35-2.49, 1 Ge 2.50
2 Ge 0.5000 0.5000 0.1670  5 Ni 2.35-2.49, 1 Ge 2.50
3 In 0.0000 0.0000 0.0000  8 Ni 3.05, 8 Ge 3.32
4 Ni 0.5000 0.5000 0.5000  2 Ge 2.49, 8 Ni 2.71
5 Ni 0.0000 0.5000 0.2849  2 Ge 2.35
6 Ni 0.0000 0.5000 0.7151  2 Ge 2.35
7 Ni 0.5000 0.0000 0.2849  2 Ge 2.35
8 Ni 0.5000 0.0000 0.7151  2 Ge 2.35
9 Ce 0.0000 0.0000 0.5000  8 Ni 2.71

The space-group type is No. 123. The calculation puts the raw total energy at -48.44 eV for the cell shown. Its total magnetization is 0.0000 μB per atom. For the volume, the calculation gives 15.8 Å³ per atom. The value obtained for the energy relative to the elements is -0.180 eV/atom.

=====

Entry 9:
Here is a relaxed structure of CeInGeO from Alexandria. Energies are from PBE.

Cell: 4.2663 4.2663 9.0374 Å, 90.00 90.00 90.00°
With the nearest neighbours (Å) after each atom.
Atoms (fractional coordinates):
1 Ge 0.0000 0.5000 0.2937  4 In 2.83
2 Ge 0.5000 0.0000 0.7063  4 In 2.83
3 In 0.5000 0.5000 0.5000  4 Ge 2.83, 4 In 3.02
4 In 0.0000 0.0000 0.5000  4 Ge 2.83, 4 In 3.02
5 O 0.5000 0.5000 0.0000  4 Ce 2.40
6 O 0.0000 0.0000 0.0000  4 Ce 2.40
7 Ce 0.5000 0.0000 0.1221  4 O 2.40
8 Ce 0.0000 0.5000 0.8779  4 O 2.40

The space-group type is No. 129. The calculation puts the raw total energy at -48.22 eV for the cell shown. For the formation energy without anion corrections, the calculation gives -1.465 eV/atom. Its total magnetization is 0.2185 μB per atom. For the volume, the calculation gives 20.6 Å³ per atom.

=====

Entry 10:
Here is a relaxed structure of Ce5InGe2Pb from Alexandria. Energies are from PBE.

Cell: 7.8166 7.8166 9.8669 Å, 113.33 113.33 90.00°
With the nearest neighbours (Å) after each atom.
Atoms (fractional coordinates):
1 Ce 0.8250 0.9255 0.2505  3 Ge 2.91-3.26, 1 In 3.01
2 Ce 0.0745 0.5745 0.7495  3 Ge 2.91-3.26, 1 In 3.01
3 Ce 0.5745 0.6750 0.7495  3 Ge 2.91-3.26, 1 In 3.01
4 Ce 0.5000 0.5000 0.0000  4 Ge 3.15, 8 Ce 3.48
5 Ce 0.3250 0.8250 0.2505  3 Ge 2.91-3.26, 1 In 3.01
6 Ce 0.9255 0.4255 0.2505  3 Ge 2.91-3.26, 1 In 3.01
7 Ce 0.1750 0.0745 0.7495  3 Ge 2.91-3.26, 1 In 3.01
8 Ce 0.6750 0.1750 0.7495  3 Ge 2.91-3.26, 1 In 3.01
9 Ce 0.4255 0.3250 0.2505  3 Ge 2.91-3.26, 1 In 3.01
10 Ce 0.0000 0.0000 0.0000  4 Ge 3.15, 8 Ce 3.48
11 Pb 0.2500 0.2500 0.5000  8 Ce 3.48
12 Pb 0.7500 0.7500 0.5000  8 Ce 3.48
13 Ge 0.1128 0.3872 0.0000  1 Ge 2.49
14 Ge 0.6128 0.1128 0.0000  1 Ge 2.49
15 Ge 0.3872 0.8872 0.0000  1 Ge 2.49
16 Ge 0.8872 0.6128 0.0000  1 Ge 2.49
17 In 0.2500 0.7500 0.5000  4 Ce 3.01
18 In 0.7500 0.2500 0.5000  4 Ce 3.01

The space-group type is No. 140. The calculation puts the raw total energy at -98.40 eV for the cell shown. Its total magnetization is 0.5376 μB per atom. For the volume, the calculation gives 27.7 Å³ per atom. The value obtained for the energy relative to the elements is -0.428 eV/atom.

=====

Entry 11:
Here is a relaxed structure of CeInGePb from Alexandria. Energies are from PBE.

Cell: 4.6023 4.6023 9.6697 Å, 90.00 90.00 90.00°
With the nearest neighbours (Å) after each atom.
Atoms (fractional coordinates):
1 Pb 0.5000 0.0000 0.2465  4 Ce 3.28, 4 In 3.31, 4 Ge 3.36
2 Pb 0.0000 0.5000 0.7535  4 Ce 3.28, 4 In 3.31, 4 Ge 3.36
3 In 0.5000 0.5000 0.0000  4 In 3.25, 4 Pb 3.31, 4 Ce 3.59
4 In 0.0000 0.0000 0.0000  4 In 3.25, 4 Pb 3.31, 4 Ce 3.59
5 Ge 0.5000 0.5000 0.5000  4 Ce 3.10, 4 Ge 3.25, 4 Pb 3.36
6 Ge 0.0000 0.0000 0.5000  4 Ce 3.10, 4 Ge 3.25, 4 Pb 3.36
7 Ce 0.5000 0.0000 0.7146  4 Ge 3.10, 4 Pb 3.28
8 Ce 0.0000 0.5000 0.2854  4 Ge 3.10, 4 Pb 3.28

The space-group type is No. 129. The calculation puts the raw total energy at -36.47 eV for the cell shown. Its total magnetization is 0.1698 μB per atom. For the volume, the calculation gives 25.6 Å³ per atom. The value obtained for the energy relative to the elements is -0.309 eV/atom.

=====

Entry 12:
Here is a relaxed structure of CeInGePd from Alexandria. Energies are from PBE.

Cell: 4.9438 4.9438 4.9438 Å, 60.00 60.00 60.00°
With the nearest neighbours (Å) after each atom.
Atoms (fractional coordinates):
1 Ce 0.2500 0.2500 0.2500  4 Pd 3.03, 4 Ge 3.03
2 In 0.7500 0.7500 0.7500  4 Ge 3.03, 4 Pd 3.03
3 Pd 0.0000 0.0000 0.0000  4 Ce 3.03, 4 In 3.03
4 Ge 0.5000 0.5000 0.5000  4 In 3.03, 4 Ce 3.03

The space-group type is No. 216. The calculation puts the raw total energy at -20.53 eV for the cell shown. Its total magnetization is 0.2033 μB per atom. For the volume, the calculation gives 21.4 Å³ per atom. The value obtained for the energy relative to the elements is -0.511 eV/atom.